Record 1
Below is GaHgBr after structural relaxation, with properties calculated at the PBE level.

Lattice parameters (Å, degrees): 5.1603 5.1603 5.1603 60.00 60.00 60.00
With the nearest neighbours (Å) after each atom.
Sites, in units of the cell vectors:
Ga1 0.0000 0.0000 0.0000  4 Hg 3.16, 4 Br 3.16
Hg1 0.2500 0.2500 0.2500  4 Ga 3.16
Br1 0.7500 0.7500 0.7500  4 Ga 3.16

Crystal system: cubic
Total DFT energy (no corrections): -1.9564 eV/atom
Total magnetization: 0.0 μB/cell
E above lowest polymorph: 13.0 kJ/mol of formula units

Record 2
Below is GaHgBr2 after structural relaxation, with properties calculated at the PBE level.

Lattice parameters (Å, degrees): 4.8994 5.0227 6.4373 76.89 67.70 89.83
With the nearest neighbours (Å) after each atom.
Sites, in units of the cell vectors:
Ga1 0.0000 0.0000 0.0000  3 Br 2.49-2.60, 1 Hg 2.68
Hg1 0.1794 0.7591 0.6458  1 Ga 2.68
Br1 0.4995 0.1759 0.9999  2 Ga 2.60
Br2 0.8243 0.6137 0.3542  1 Ga 2.49

Crystal system: triclinic
Total DFT energy (no corrections): -2.0893 eV/atom
Total magnetization: 0.0 μB/cell
E above lowest polymorph: 6.9 kJ/mol of formula units

Record 3
Below is GaHg3Br after structural relaxation, with properties calculated at the PBE level.

Lattice parameters (Å, degrees): 5.3506 5.3506 5.3506 90.00 90.00 90.00
With the nearest neighbours (Å) after each atom.
Sites, in units of the cell vectors:
Ga1 0.0000 0.0000 0.0000  6 Hg 2.68
Hg1 0.0000 0.0000 0.5000  2 Ga 2.68
Hg2 0.0000 0.5000 0.0000  2 Ga 2.68
Hg3 0.5000 0.0000 0.0000  2 Ga 2.68
Br1 0.5000 0.5000 0.5000  12 Hg 3.78

Crystal system: cubic
Total DFT energy (no corrections): -1.2234 eV/atom
Total magnetization: 0.0 μB/cell
E above lowest polymorph: 29.6 kJ/mol of formula units

Record 4
Below is Ga2HgBr6 after structural relaxation, with properties calculated at the PBE level.

Lattice parameters (Å, degrees): 11.3035 11.3035 6.6492 104.85 104.85 67.52
With the nearest neighbours (Å) after each atom.
Sites, in units of the cell vectors:
Ga1 0.0673 0.2611 0.2349  4 Br 2.28-2.51
Ga2 0.2611 0.0673 0.7349  4 Br 2.28-2.51
Ga3 0.7389 0.9327 0.2651  4 Br 2.28-2.51
Ga4 0.9327 0.7389 0.7651  4 Br 2.28-2.51
Hg1 0.4733 0.5267 0.2500  2 Hg 3.39, 2 Br 3.73
Hg2 0.5267 0.4733 0.7500  2 Hg 3.39, 2 Br 3.73
Br1 0.0436 0.1871 0.5430  2 Ga 2.50-2.51
Br2 0.1426 0.6703 0.9449  1 Ga 2.30
Br3 0.1871 0.0436 0.0430  2 Ga 2.50-2.51
Br4 0.1926 0.3911 0.3411  1 Ga 2.28
Br5 0.3297 0.8574 0.5551  1 Ga 2.30
Br6 0.3911 0.1926 0.8411  1 Ga 2.28
Br7 0.6089 0.8074 0.1589  1 Ga 2.28
Br8 0.6703 0.1426 0.4449  1 Ga 2.30
Br9 0.8074 0.6089 0.6589  1 Ga 2.28
Br10 0.8129 0.9564 0.9570  2 Ga 2.50-2.51
Br11 0.8574 0.3297 0.0551  1 Ga 2.30
Br12 0.9564 0.8129 0.4570  2 Ga 2.50-2.51

Crystal system: monoclinic
Total DFT energy (no corrections): -2.5179 eV/atom
Total magnetization: 0.0 μB/cell
E above lowest polymorph: 3.9 kJ/mol of formula units

Record 5
Below is GaHgBr3 after structural relaxation, with properties calculated at the PBE level.

Lattice parameters (Å, degrees): 5.5672 5.5672 5.5672 90.00 90.00 90.00
With the nearest neighbours (Å) after each atom.
Sites, in units of the cell vectors:
Ga1 0.0000 0.0000 0.0000  12 Br 3.94
Hg1 0.5000 0.5000 0.5000  6 Br 2.78
Br1 0.0000 0.5000 0.5000  2 Hg 2.78
Br2 0.5000 0.0000 0.5000  2 Hg 2.78
Br3 0.5000 0.5000 0.0000  2 Hg 2.78

Crystal system: cubic
Total DFT energy (no corrections): -1.9743 eV/atom
Total magnetization: 0.0 μB/cell
E above lowest polymorph: 151.7 kJ/mol of formula units

Record 6
Below is GaHg2Br after structural relaxation, with properties calculated at the PBE level.

Lattice parameters (Å, degrees): 5.4730 5.4730 5.4730 60.00 60.00 60.00
With the nearest neighbours (Å) after each atom.
Sites, in units of the cell vectors:
Ga1 0.0000 0.0000 0.0000  8 Hg 3.35
Hg1 0.2500 0.2500 0.2500  4 Br 3.35, 4 Ga 3.35
Hg2 0.7500 0.7500 0.7500  4 Br 3.35, 4 Ga 3.35
Br1 0.5000 0.5000 0.5000  8 Hg 3.35

Crystal system: cubic
Total DFT energy (no corrections): -1.3909 eV/atom
Total magnetization: 0.0 μB/cell
E above lowest polymorph: 71.4 kJ/mol of formula units

Record 7
Below is GaHgBr2 after structural relaxation, with properties calculated at the PBE level.

Lattice parameters (Å, degrees): 10.4063 10.4063 10.4063 21.46 21.46 21.46
With the nearest neighbours (Å) after each atom.
Sites, in units of the cell vectors:
Ga1 0.0000 0.0000 0.0000  6 Br 2.78
Hg1 0.1644 0.1644 0.1644  6 Hg 3.88, 6 Br 4.04-4.16
Br1 0.3873 0.3873 0.3873  3 Ga 2.78
Br2 0.6127 0.6127 0.6127  3 Ga 2.78

Crystal system: trigonal
Total DFT energy (no corrections): -2.0284 eV/atom
Total magnetization: 0.0 μB/cell
E above lowest polymorph: 30.4 kJ/mol of formula units

Record 8
Below is GaHg2Br8 after structural relaxation, with properties calculated at the PBE level.

Lattice parameters (Å, degrees): 7.1785 7.1785 11.2400 106.81 106.81 54.26
With the nearest neighbours (Å) after each atom.
Sites, in units of the cell vectors:
Ga1 0.0000 0.0000 0.0000  4 Br 2.41
Hg1 0.3333 0.3333 0.4453  2 Br 2.50-2.51
Hg2 0.6667 0.6667 0.5547  2 Br 2.50-2.51
Br1 0.1133 0.6132 0.8930  1 Ga 2.41
Br2 0.1761 0.1761 0.5327  1 Hg 2.51
Br3 0.3868 0.8867 0.1070  1 Ga 2.41
Br4 0.4580 0.4580 0.3142  1 Hg 2.50
Br5 0.5420 0.5420 0.6858  1 Hg 2.50
Br6 0.6132 0.1133 0.8930  1 Ga 2.41
Br7 0.8239 0.8239 0.4673  1 Hg 2.51
Br8 0.8867 0.3868 0.1070  1 Ga 2.41

Crystal system: monoclinic
Total DFT energy (no corrections): -1.9395 eV/atom
Total magnetization: 0.0 μB/cell
E above lowest polymorph: 23.6 kJ/mol of formula units

In order of appearance, ΔE_f (raw) = -0.289, -0.421, -0.102, -0.697, -0.305, -0.065, -0.360, -0.393 eV per atom.